Density functional theory data (PBE) for a relaxed structure of CdTc3.

Lattice parameters (Å, degrees): 4.5275 5.0802 5.4933 90.00 90.00 90.00
Closest atoms and distances in Å follow each position.
Fractional coordinates of all 8 atoms:
Tc1 0.5000 0.1439 0.7681  6 Tc 2.55-2.84, 2 Cd 2.83
Tc2 0.5000 0.1439 0.2319  6 Tc 2.55-2.84, 2 Cd 2.83
Tc3 0.0000 0.8561 0.2681  6 Tc 2.55-2.84, 2 Cd 2.83
Tc4 0.0000 0.3142 0.5000  6 Tc 2.65-2.84, 4 Cd 2.76-2.79
Tc5 0.0000 0.8561 0.7319  6 Tc 2.55-2.84, 2 Cd 2.83
Tc6 0.5000 0.6858 0.0000  6 Tc 2.65-2.84, 4 Cd 2.76-2.79
Cd1 0.0000 0.3663 0.0000  12 Tc 2.76-2.98
Cd2 0.5000 0.6337 0.5000  12 Tc 2.76-2.98

Calculated values
Energy of formation (eV per formula unit): 1.487
E_tot (eV/atom): -7.63
SG: Pmmn
Calculated density (g cm⁻³): 10.68

Density functional theory data (PBE) for a relaxed structure of Hf4Zr3In4.

Lattice parameters (Å, degrees): 3.2856 9.6968 9.6063 120.31 99.85 90.00
Closest atoms and distances in Å follow each position.
Fractional coordinates of all 11 atoms:
Zr1 0.8840 0.8840 0.7681  6 In 3.10-3.25, 4 Hf 3.19, 2 Zr 3.29
Zr2 0.0000 0.5000 0.0000  6 In 3.23-3.61, 2 Zr 3.29
Zr3 0.1160 0.1160 0.2319  6 In 3.10-3.25, 4 Hf 3.19, 2 Zr 3.29
In1 0.5000 0.2136 0.0000  2 Hf 2.84
In2 0.2222 0.7222 0.4444  6 Hf 2.92-3.10, 2 Zr 3.10
In3 0.7778 0.2778 0.5556  6 Hf 2.92-3.10, 2 Zr 3.10
In4 0.5000 0.7864 0.0000  2 Hf 2.84
Hf1 0.3284 0.0943 0.6567  4 In 2.84-3.10, 2 Hf 3.05
Hf2 0.6716 0.4376 0.3433  4 In 2.84-3.10, 2 Hf 3.05
Hf3 0.3284 0.5624 0.6567  4 In 2.84-3.10, 2 Hf 3.05
Hf4 0.6716 0.9057 0.3433  4 In 2.84-3.10, 2 Hf 3.05

Calculated values
Energy of formation (eV per formula unit): 0.018
E_tot (eV/atom): -6.94
SG: Immm
Calculated density (g cm⁻³): 9.28

Density functional theory data (PBE) for a relaxed structure of Pr2Nd6Sm3Pb.

Lattice parameters (Å, degrees): 6.2864 6.2864 12.0955 95.02 95.02 120.11
Closest atoms and distances in Å follow each position.
Fractional coordinates of all 12 atoms:
Pr1 0.3339 0.6661 0.0000  3 Pr 3.62-3.63, 3 Pb 3.62-3.64, 6 Nd 3.65-3.66
Pr2 0.6661 0.3339 0.0000  3 Pr 3.62-3.63, 3 Pb 3.62-3.64, 6 Nd 3.65-3.66
Nd1 0.4073 0.0833 0.2490  6 Nd 3.52-3.68, 1 Pb 3.60, 3 Sm 3.63-3.67, 2 Pr 3.65
Nd2 0.0833 0.4073 0.2490  6 Nd 3.52-3.68, 1 Pb 3.60, 3 Sm 3.63-3.67, 2 Pr 3.65
Nd3 0.5927 0.9167 0.7510  6 Nd 3.52-3.68, 1 Pb 3.60, 3 Sm 3.63-3.67, 2 Pr 3.65
Nd4 0.7599 0.7599 0.2507  6 Nd 3.52-3.68, 1 Pb 3.62, 3 Sm 3.63-3.67, 2 Pr 3.66
Nd5 0.2401 0.2401 0.7493  6 Nd 3.52-3.68, 1 Pb 3.62, 3 Sm 3.63-3.67, 2 Pr 3.66
Nd6 0.9167 0.5927 0.7510  6 Nd 3.52-3.68, 1 Pb 3.60, 3 Sm 3.63-3.67, 2 Pr 3.65
Pb1 0.0000 0.0000 0.0000  6 Nd 3.60-3.62, 6 Pr 3.62-3.64
Sm1 0.5000 0.5000 0.5000  6 Sm 3.61-3.64, 6 Nd 3.63-3.67
Sm2 0.8312 0.1688 0.5000  6 Sm 3.60-3.68, 6 Nd 3.63-3.67
Sm3 0.1688 0.8312 0.5000  6 Sm 3.60-3.68, 6 Nd 3.63-3.67

Calculated values
Energy of formation (eV per formula unit): -0.772
E_tot (eV/atom): -4.73
SG: C2/m
Calculated density (g cm⁻³): 7.36